*one*
AcPr6Ho8: optimized geometry, PBE.

D(E_F)   19.61 states/eV/f.u.
Total magnetic moment   0.00 μB per formula unit
Symmetry   R-3
Crystal system   trigonal

Unit cell a=8.6627 b=8.6627 c=8.6627 alpha=67.88 beta=67.88 gamma=67.88
Closest atoms and distances in Å follow each position.
Element x y z (fractional)
Ac1 0.0000 0.0000 0.0000  6 Ho 3.65, 6 Pr 3.84
Pr1 0.1168 0.3993 0.6437  1 Pr 3.35, 5 Ho 3.37-3.68
Pr2 0.3563 0.8832 0.6007  1 Pr 3.35, 5 Ho 3.37-3.68
Pr3 0.3993 0.6437 0.1168  1 Pr 3.35, 5 Ho 3.37-3.68
Pr4 0.6007 0.3563 0.8832  1 Pr 3.35, 5 Ho 3.37-3.68
Pr5 0.6437 0.1168 0.3993  1 Pr 3.35, 5 Ho 3.37-3.68
Pr6 0.8832 0.6007 0.3563  1 Pr 3.35, 5 Ho 3.37-3.68
Ho1 0.0976 0.8414 0.4165  3 Ho 3.19-3.54, 4 Pr 3.37-3.56
Ho2 0.1586 0.5835 0.9024  3 Ho 3.19-3.54, 4 Pr 3.37-3.56
Ho3 0.2281 0.2281 0.2281  6 Ho 3.34-3.54, 3 Pr 3.68
Ho4 0.4165 0.0976 0.8414  3 Ho 3.19-3.54, 4 Pr 3.37-3.56
Ho5 0.5835 0.9024 0.1586  3 Ho 3.19-3.54, 4 Pr 3.37-3.56
Ho6 0.7719 0.7719 0.7719  6 Ho 3.34-3.54, 3 Pr 3.68
Ho7 0.8414 0.4165 0.0976  3 Ho 3.19-3.54, 4 Pr 3.37-3.56
Ho8 0.9024 0.1586 0.5835  3 Ho 3.19-3.54, 4 Pr 3.37-3.56

=====

*two*
AcPr6Ho8: optimized geometry, PBE.

D(E_F)   20.76 states/eV/f.u.
Total magnetic moment   0.00 μB per formula unit
Symmetry   R-3
Crystal system   trigonal

Unit cell a=8.6825 b=8.6825 c=8.6825 alpha=65.36 beta=65.36 gamma=65.36
Closest atoms and distances in Å follow each position.
Element x y z (fractional)
Ac1 0.0000 0.0000 0.0000  6 Pr 3.57, 6 Ho 3.97
Pr1 0.1062 0.2675 0.5493  3 Ho 3.26-3.50, 3 Pr 3.56-3.64, 1 Ac 3.57
Pr2 0.2675 0.5493 0.1062  3 Ho 3.26-3.50, 3 Pr 3.56-3.64, 1 Ac 3.57
Pr3 0.4507 0.8938 0.7325  3 Ho 3.26-3.50, 3 Pr 3.56-3.64, 1 Ac 3.57
Pr4 0.5493 0.1062 0.2675  3 Ho 3.26-3.50, 3 Pr 3.56-3.64, 1 Ac 3.57
Pr5 0.7325 0.4507 0.8938  3 Ho 3.26-3.50, 3 Pr 3.56-3.64, 1 Ac 3.57
Pr6 0.8938 0.7325 0.4507  3 Ho 3.26-3.50, 3 Pr 3.56-3.64, 1 Ac 3.57
Ho1 0.0841 0.6461 0.7740  7 Ho 3.44-3.74, 3 Pr 3.50-3.67
Ho2 0.2260 0.9159 0.3539  7 Ho 3.44-3.74, 3 Pr 3.50-3.67
Ho3 0.3539 0.2260 0.9159  7 Ho 3.44-3.74, 3 Pr 3.50-3.67
Ho4 0.4301 0.4301 0.4301  1 Ho 2.85
Ho5 0.5699 0.5699 0.5699  1 Ho 2.85
Ho6 0.6461 0.7740 0.0841  7 Ho 3.44-3.74, 3 Pr 3.50-3.67
Ho7 0.7740 0.0841 0.6461  7 Ho 3.44-3.74, 3 Pr 3.50-3.67
Ho8 0.9159 0.3539 0.2260  7 Ho 3.44-3.74, 3 Pr 3.50-3.67

=====

Which of them is most stable, and which least? Most stable: *two*; least stable: *one*.

=====

*one*
AcPr3Ho: optimized geometry, PBE.

D(E_F)   4.36 states/eV/f.u.
Total magnetic moment   0.00 μB per formula unit
Symmetry   Cmcm
Crystal system   orthorhombic

Unit cell a=8.5482 b=8.5482 c=6.3098 alpha=90.00 beta=90.00 gamma=122.08
Closest atoms and distances in Å follow each position.
Element x y z (fractional)
Ac1 0.2031 0.7969 0.7500  4 Pr 3.42-3.44
Ac2 0.7969 0.2031 0.2500  4 Pr 3.42-3.44
Pr1 0.0000 0.0000 0.0000  6 Pr 3.15-3.28, 2 Ac 3.42
Pr2 0.0000 0.0000 0.5000  6 Pr 3.15-3.28, 2 Ac 3.42
Pr3 0.2089 0.3976 0.7500  3 Pr 3.26-3.28, 1 Ac 3.44, 2 Ho 3.64
Pr4 0.3976 0.2089 0.2500  3 Pr 3.26-3.28, 1 Ac 3.44, 2 Ho 3.64
Pr5 0.6024 0.7911 0.7500  3 Pr 3.26-3.28, 1 Ac 3.44, 2 Ho 3.64
Pr6 0.7911 0.6024 0.2500  3 Pr 3.26-3.28, 1 Ac 3.44, 2 Ho 3.64
Ho1 0.3535 0.6465 0.2500  6 Pr 3.64-3.95, 2 Ac 3.87
Ho2 0.6465 0.3535 0.7500  6 Pr 3.64-3.95, 2 Ac 3.87

=====

*two*
AcPr3Ho: optimized geometry, PBE.

D(E_F)   7.53 states/eV/f.u.
Total magnetic moment   0.00 μB per formula unit
Symmetry   P2_1/c
Crystal system   monoclinic

Unit cell a=6.3719 b=7.0588 c=17.4583 alpha=90.00 beta=109.31 gamma=90.00
Closest atoms and distances in Å follow each position.
Element x y z (fractional)
Ac1 0.0483 0.0653 0.3424  6 Pr 3.54-3.85, 3 Ho 3.75-3.84
Ac2 0.0483 0.4347 0.8424  6 Pr 3.54-3.85, 3 Ho 3.75-3.84
Ac3 0.9517 0.5653 0.1576  6 Pr 3.54-3.85, 3 Ho 3.75-3.84
Ac4 0.9517 0.9347 0.6576  6 Pr 3.54-3.85, 3 Ho 3.75-3.84
Pr1 0.2168 0.5534 0.3704  5 Pr 3.48-3.79, 3 Ac 3.54-3.76, 2 Ho 3.60-3.77
Pr2 0.2168 0.9466 0.8704  5 Pr 3.48-3.79, 3 Ac 3.54-3.76, 2 Ho 3.60-3.77
Pr3 0.2195 0.1649 0.0575  7 Pr 3.48-3.76, 2 Ho 3.67-3.76
Pr4 0.2195 0.3351 0.5575  7 Pr 3.48-3.76, 2 Ho 3.67-3.76
Pr5 0.3622 0.6602 0.0492  7 Pr 3.57-3.92, 2 Ho 3.61-3.94, 3 Ac 3.67-3.85
Pr6 0.3622 0.8398 0.5492  7 Pr 3.57-3.92, 2 Ho 3.61-3.94, 3 Ac 3.67-3.85
Pr7 0.6378 0.1602 0.4508  7 Pr 3.57-3.92, 2 Ho 3.61-3.94, 3 Ac 3.67-3.85
Pr8 0.6378 0.3398 0.9508  7 Pr 3.57-3.92, 2 Ho 3.61-3.94, 3 Ac 3.67-3.85
Pr9 0.7805 0.6649 0.4425  7 Pr 3.48-3.76, 2 Ho 3.67-3.76
Pr10 0.7805 0.8351 0.9425  7 Pr 3.48-3.76, 2 Ho 3.67-3.76
Pr11 0.7832 0.0534 0.1296  5 Pr 3.48-3.79, 3 Ac 3.54-3.76, 2 Ho 3.60-3.77
Pr12 0.7832 0.4466 0.6296  5 Pr 3.48-3.79, 3 Ac 3.54-3.76, 2 Ho 3.60-3.77
Ho1 0.4562 0.6289 0.7463  2 Ho 3.57, 6 Pr 3.60-3.94, 3 Ac 3.75-3.84
Ho2 0.4562 0.8711 0.2463  2 Ho 3.57, 6 Pr 3.60-3.94, 3 Ac 3.75-3.84
Ho3 0.5438 0.1289 0.7537  2 Ho 3.57, 6 Pr 3.60-3.94, 3 Ac 3.75-3.84
Ho4 0.5438 0.3711 0.2537  2 Ho 3.57, 6 Pr 3.60-3.94, 3 Ac 3.75-3.84

=====

Which of them is most stable, and which least? Most stable: *two*; least stable: *one*.

=====

*one*
AcPr4Ho2: optimized geometry, PBE.

D(E_F)   13.80 states/eV/f.u.
Total magnetic moment   0.00 μB per formula unit
Symmetry   R-3m
Crystal system   trigonal

Unit cell a=9.1377 b=9.1377 c=9.1377 alpha=37.31 beta=37.31 gamma=37.31
Closest atoms and distances in Å follow each position.
Element x y z (fractional)
Ac1 0.0000 0.0000 0.0000  2 Ho 3.53, 6 Pr 3.76
Pr1 0.2682 0.2682 0.2682  1 Ho 3.30, 3 Pr 3.43
Pr2 0.4228 0.4228 0.4228  3 Pr 3.43, 3 Ho 3.60
Pr3 0.5772 0.5772 0.5772  3 Pr 3.43, 3 Ho 3.60
Pr4 0.7318 0.7318 0.7318  1 Ho 3.30, 3 Pr 3.43
Ho1 0.1387 0.1387 0.1387  4 Pr 3.30-3.60, 1 Ac 3.53, 3 Ho 3.66
Ho2 0.8613 0.8613 0.8613  4 Pr 3.30-3.60, 1 Ac 3.53, 3 Ho 3.66

=====

*two*
AcPr4Ho2: optimized geometry, PBE.

D(E_F)   12.84 states/eV/f.u.
Total magnetic moment   0.00 μB per formula unit
Symmetry   C2/m
Crystal system   monoclinic

Unit cell a=6.9596 b=6.9596 c=6.4506 alpha=97.72 beta=97.72 gamma=56.49
Closest atoms and distances in Å follow each position.
Element x y z (fractional)
Ac1 0.0000 0.0000 0.0000  6 Pr 3.48-3.55, 4 Ho 3.71
Pr1 0.0000 0.5000 0.0000  4 Pr 3.29-3.60, 2 Ac 3.48
Pr2 0.1612 0.1612 0.5072  1 Ac 3.55, 7 Pr 3.60-3.96, 3 Ho 3.74-3.85
Pr3 0.5000 0.0000 0.0000  4 Pr 3.29-3.60, 2 Ac 3.48
Pr4 0.8388 0.8388 0.4928  1 Ac 3.55, 7 Pr 3.60-3.96, 3 Ho 3.74-3.85
Ho1 0.4603 0.4603 0.7356  2 Ho 3.33-3.40, 2 Pr 3.69, 2 Ac 3.71
Ho2 0.5397 0.5397 0.2644  2 Ho 3.33-3.40, 2 Pr 3.69, 2 Ac 3.71

=====

Which of them is most stable, and which least? Most stable: *one*; least stable: *two*.

=====

*one*
AcPr2Ho8: optimized geometry, PBE.

D(E_F)   17.42 states/eV/f.u.
Total magnetic moment   0.00 μB per formula unit
Symmetry   C2/m
Crystal system   monoclinic

Unit cell a=10.2860 b=10.2860 c=5.5348 alpha=92.81 beta=92.81 gamma=40.59
Closest atoms and distances in Å follow each position.
Element x y z (fractional)
Ac1 0.0000 0.0000 0.0000  10 Ho 3.60-3.89
Pr1 0.2859 0.2859 0.7525  11 Ho 3.25-3.60
Pr2 0.7141 0.7141 0.2475  11 Ho 3.25-3.60
Ho1 0.1363 0.5965 0.2697  4 Ho 3.28-3.56, 3 Pr 3.51-3.58, 1 Ac 3.60
Ho2 0.1884 0.1884 0.2345  4 Pr 3.34-3.60, 4 Ho 3.51-3.56
Ho3 0.4035 0.8637 0.7303  4 Ho 3.28-3.56, 3 Pr 3.51-3.58, 1 Ac 3.60
Ho4 0.4545 0.4545 0.7590  2 Ho 3.12-3.44, 1 Pr 3.25
Ho5 0.5455 0.5455 0.2410  2 Ho 3.12-3.44, 1 Pr 3.25
Ho6 0.5965 0.1363 0.2697  4 Ho 3.28-3.56, 3 Pr 3.51-3.58, 1 Ac 3.60
Ho7 0.8116 0.8116 0.7655  4 Pr 3.34-3.60, 4 Ho 3.51-3.56
Ho8 0.8637 0.4035 0.7303  4 Ho 3.28-3.56, 3 Pr 3.51-3.58, 1 Ac 3.60

=====

*two*
AcPr2Ho8: optimized geometry, PBE.

D(E_F)   14.97 states/eV/f.u.
Total magnetic moment   0.00 μB per formula unit
Symmetry   Immm
Crystal system   orthorhombic

Unit cell a=9.5288 b=9.5288 c=9.5288 alpha=146.20 beta=128.73 gamma=62.84
Closest atoms and distances in Å follow each position.
Element x y z (fractional)
Ac1 0.0000 0.0000 0.0000  8 Ho 3.38-3.69
Pr1 0.3006 0.3006 0.0000  10 Ho 3.37-3.65
Pr2 0.6994 0.6994 0.0000  10 Ho 3.37-3.65
Ho1 0.1516 0.8563 0.2953  3 Pr 3.37-3.53, 6 Ho 3.38-3.70, 1 Ac 3.38
Ho2 0.1607 0.6607 0.5000  8 Ho 3.58-3.70, 2 Pr 3.59, 2 Ac 3.81
Ho3 0.2960 0.5000 0.7960  7 Ho 3.36-3.62, 2 Pr 3.65, 2 Ac 3.69
Ho4 0.4391 0.1437 0.2953  3 Pr 3.37-3.53, 6 Ho 3.38-3.70, 1 Ac 3.38
Ho5 0.5609 0.8563 0.7047  3 Pr 3.37-3.53, 6 Ho 3.38-3.70, 1 Ac 3.38
Ho6 0.7040 0.5000 0.2040  7 Ho 3.36-3.62, 2 Pr 3.65, 2 Ac 3.69
Ho7 0.8393 0.3393 0.5000  8 Ho 3.58-3.70, 2 Pr 3.59, 2 Ac 3.81
Ho8 0.8484 0.1437 0.7047  3 Pr 3.37-3.53, 6 Ho 3.38-3.70, 1 Ac 3.38

=====

Which of them is most stable, and which least? Most stable: *two*; least stable: *one*.